(1)
Material: Nd3GeAu
Method: DFT, PBE
State: relaxed

Computed properties:
Total DFT energy (no corrections) in eV/atom: -5.015

```
Nd3GeAu
1.0
-3.839 4.157 -1.936
0.129 -5.165 -3.911
-4.857 0.439 8.393
Au Nd Ge
2 6 2
Direct
0.701 0.167 0.451
0.299 0.833 0.549
0.755 0.691 0.446
0.245 0.309 0.554
0.892 0.687 0.813
0.401 0.819 0.098
0.599 0.181 0.902
0.108 0.313 0.187
0.890 0.793 0.177
0.110 0.207 0.823
```

(2)
Material: NdGe2Au
Method: DFT, PBE
State: relaxed

Computed properties:
Total DFT energy (no corrections) in eV/atom: -4.894

```
NdGe2Au
1.0
4.504 0.000 0.000
0.000 8.864 0.000
-2.252 -4.432 8.739
Ge Au Nd
8 4 4
Direct
0.303 0.949 0.606
0.930 0.930 0.861
0.697 0.342 0.394
0.929 0.429 0.858
0.071 0.571 0.142
0.697 0.051 0.394
0.070 0.070 0.139
0.303 0.658 0.606
0.147 0.396 0.294
0.853 0.604 0.706
0.147 0.898 0.294
0.853 0.102 0.706
0.500 0.251 0.000
0.697 0.697 0.395
0.303 0.303 0.605
0.500 0.749 0.000
```